Entry 1:
First-principles (PBE) data for a relaxed structure of YErBe, as listed in Alexandria via LeMat-Bulk.

Computed properties:
**Energy relative to the elements**: 55 meV/atom
**Offset from the most stable computed form**: 0 meV per atom
**Fermi-level density of states**: 5.88 states/eV per cell

Geometry as POSCAR:
```
YErBe
1.0
-1.890 2.592 -3.589
-7.933 -1.151 3.346
0.733 5.613 3.669
Be Er Y
4 4 4
direct
0.250 0.401 0.762
0.750 0.901 0.738
0.750 0.599 0.238
0.250 0.099 0.262
0.750 0.579 0.656
0.750 0.921 0.156
0.250 0.421 0.344
0.250 0.079 0.844
0.250 0.684 0.985
0.750 0.316 0.015
0.750 0.184 0.515
0.250 0.816 0.485
```

Entry 2:
First-principles (PBE) data for a relaxed structure of Er5BeZn4, as listed in Alexandria via LeMat-Bulk.

Computed properties:
**Energy relative to the elements**: -259 meV/atom
**Fermi-level density of states**: 11.02 states/eV per cell

Geometry as POSCAR:
```
Er5BeZn4
1.0
-2.755 -0.236 2.138
-0.831 -3.087 -1.412
9.997 -8.171 11.983
Er Zn Be
5 4 1
direct
0.500 0.500 0.704
0.500 0.500 0.500
0.500 0.500 0.296
0.500 0.500 0.908
0.500 0.500 0.092
0.000 0.000 0.194
0.000 0.000 0.806
0.000 0.000 0.602
0.000 0.000 0.398
0.000 0.000 0.000
```

Entry 3:
First-principles (PBE) data for a relaxed structure of ErBeZn11, as listed in Alexandria via LeMat-Bulk.

Computed properties:
**Energy relative to the elements**: -150 meV/atom
**Fermi-level density of states**: 1.78 states/eV per cell

Geometry as POSCAR:
```
ErBeZn11
1.0
4.786 -0.005 1.994
2.335 6.142 0.973
0.028 -0.002 6.673
Zn Be Er
11 1 1
direct
0.294 0.222 0.213
0.000 0.500 0.000
0.706 0.778 0.787
0.638 0.357 0.346
0.506 0.222 0.787
0.983 0.357 0.654
0.362 0.643 0.654
0.494 0.778 0.213
0.017 0.643 0.346
0.500 0.000 0.500
0.000 0.000 0.500
0.500 0.500 0.000
0.000 0.000 0.000
```

Entry 4:
First-principles (PBE) data for a relaxed structure of Er6BeZn5, as listed in Alexandria via LeMat-Bulk.

Computed properties:
**Energy relative to the elements**: -272 meV/atom
**Fermi-level density of states**: 13.09 states/eV per cell

Geometry as POSCAR:
```
Er6BeZn5
1.0
4.761 0.020 -1.389
-0.969 6.204 -3.230
-0.084 0.431 8.571
Zn Be Er
5 1 6
direct
0.669 0.169 0.338
0.334 0.334 0.667
0.666 0.666 0.333
0.331 0.831 0.662
0.000 0.500 0.000
0.000 0.000 0.000
0.836 0.591 0.672
0.500 0.242 0.000
0.164 0.409 0.328
0.500 0.758 0.000
0.836 0.082 0.672
0.164 0.918 0.328
```

Entry 5:
First-principles (PBE) data for a relaxed structure of ErBeZn, as listed in Alexandria via LeMat-Bulk.

Computed properties:
**Energy relative to the elements**: 87 meV/atom
**Offset from the most stable computed form**: 249 meV per atom
**Fermi-level density of states**: 6.33 states/eV per cell

Geometry as POSCAR:
```
ErBeZn
1.0
4.282 0.000 0.000
2.141 6.210 0.000
2.141 0.000 8.629
Er Zn Be
4 4 4
direct
0.870 0.261 0.000
0.880 0.239 0.500
0.130 0.739 0.000
0.620 0.761 0.500
0.344 0.500 0.312
0.406 0.000 0.188
0.594 0.000 0.812
0.156 0.500 0.688
0.132 0.000 0.736
0.618 0.500 0.764
0.882 0.500 0.236
0.868 0.000 0.264
```

Entry 6:
First-principles (PBE) data for a relaxed structure of ErBeZn, as listed in Alexandria via LeMat-Bulk.

Computed properties:
**Energy relative to the elements**: -162 meV/atom
**Offset from the most stable computed form**: 0 meV per atom
**Fermi-level density of states**: 2.59 states/eV per cell

Geometry as POSCAR:
```
ErBeZn
1.0
-1.014 -3.312 -0.472
3.039 -0.521 -2.871
0.775 -0.816 4.060
Zn Be Er
1 1 1
direct
0.167 0.000 0.000
0.167 0.333 0.667
0.667 0.667 0.333
```

Entry 7:
First-principles (PBE) data for a relaxed structure of ErZrBe4, as listed in Alexandria via LeMat-Bulk.

Computed properties:
**Energy relative to the elements**: 15 meV/atom
**Fermi-level density of states**: 4.65 states/eV per cell

Geometry as POSCAR:
```
ErZrBe4
1.0
-0.125 4.265 -2.377
-4.191 1.596 -1.935
-2.299 3.830 1.975
Be Er Zr
4 1 1
direct
0.621 0.621 0.621
0.621 0.621 0.137
0.621 0.137 0.621
0.137 0.621 0.621
0.000 0.000 0.000
0.250 0.250 0.250
```

Entry 8:
First-principles (PBE) data for a relaxed structure of ErZrBe, as listed in Alexandria via LeMat-Bulk.

Computed properties:
**Energy relative to the elements**: 74 meV/atom
**Fermi-level density of states**: 2.96 states/eV per cell

Geometry as POSCAR:
```
ErZrBe
1.0
3.262 0.000 0.000
0.000 3.262 0.000
-1.631 -1.631 5.788
Zr Er Be
1 1 1
direct
0.306 0.306 0.613
0.016 0.016 0.032
0.678 0.678 0.355
```

Entry 9:
First-principles (PBE) data for a relaxed structure of Er2ZrBe, as listed in Alexandria via LeMat-Bulk.

Computed properties:
**Energy relative to the elements**: 86 meV/atom
**Fermi-level density of states**: 4.55 states/eV per cell

Geometry as POSCAR:
```
Er2ZrBe
1.0
-0.387 -2.908 1.601
3.241 0.018 0.817
-1.758 4.026 6.889
Er Zr Be
2 1 1
direct
0.000 0.000 0.789
0.000 0.000 0.211
0.500 0.500 0.500
0.500 0.500 0.000
```

Entry 10:
First-principles (PBE) data for a relaxed structure of PmEuBeGa, as listed in Alexandria via LeMat-Bulk.

Computed properties:
**Energy relative to the elements**: -90 meV/atom
**Fermi-level density of states**: 3.69 states/eV per cell

Geometry as POSCAR:
```
PmEuBeGa
1.0
5.137 0.000 0.000
2.568 4.448 0.000
2.568 1.483 4.194
Be Eu Ga Pm
1 1 1 1
direct
0.750 0.750 0.750
0.000 0.000 0.000
0.250 0.250 0.250
0.500 0.500 0.500
```

Entry 11:
First-principles (PBE) data for a relaxed structure of EuBeGe, as listed in Alexandria via LeMat-Bulk.

Computed properties:
**Energy relative to the elements**: -454 meV/atom
**Fermi-level density of states**: 8.22 states/eV per cell

Geometry as POSCAR:
```
EuBeGe
1.0
-3.283 -2.934 0.246
2.567 -2.944 -0.860
-0.646 1.042 3.807
Eu Be Ge
1 1 1
direct
0.667 0.333 0.667
0.167 0.667 0.333
0.167 0.000 0.000
```

Entry 12:
First-principles (PBE) data for a relaxed structure of EuBe2H6, as listed in Alexandria via LeMat-Bulk.

Computed properties:
**Uncorrected energy**: -3.189 eV per atom
**Fermi-level density of states**: 2.65 states/eV per cell

Geometry as POSCAR:
```
EuBe2H6
1.0
4.046 0.000 2.336
1.349 3.815 2.336
0.000 0.000 4.672
Eu H Be
1 6 2
direct
0.000 0.000 0.000
0.318 0.682 0.682
0.318 0.318 0.682
0.682 0.318 0.682
0.682 0.682 0.318
0.682 0.318 0.318
0.318 0.682 0.318
0.250 0.250 0.250
0.750 0.750 0.750
```

Entry 13:
First-principles (PBE) data for a relaxed structure of EuBeH, as listed in Alexandria via LeMat-Bulk.

Computed properties:
**Uncorrected energy**: -5.883 eV per atom
**Fermi-level density of states**: 2.62 states/eV per cell

Geometry as POSCAR:
```
EuBeH
1.0
-0.556 3.719 1.289
-3.012 0.235 -1.978
-4.984 -2.144 4.039
Eu H Be
2 2 2
direct
0.750 0.143 0.715
0.250 0.857 0.285
0.750 0.348 0.305
0.250 0.652 0.695
0.250 0.534 0.932
0.750 0.466 0.068
```

Entry 14:
First-principles (PBE) data for a relaxed structure of EuBeHg3, as listed in Alexandria via LeMat-Bulk.

Computed properties:
**Energy relative to the elements**: -143 meV/atom
**Fermi-level density of states**: 12.14 states/eV per cell

Geometry as POSCAR:
```
EuBeHg3
1.0
-3.137 -0.268 -3.765
3.058 -3.050 -2.331
-2.212 -3.836 2.116
Hg Eu Be
3 1 1
direct
0.000 0.500 0.000
0.000 0.000 0.500
0.500 0.000 0.000
0.500 0.500 0.500
0.000 0.000 0.000
```

Entry 15:
First-principles (PBE) data for a relaxed structure of LiEuBeIn, as listed in Alexandria via LeMat-Bulk.

Computed properties:
**Energy relative to the elements**: -82 meV/atom
**Fermi-level density of states**: 8.94 states/eV per cell

Geometry as POSCAR:
```
LiEuBeIn
1.0
-3.495 -2.900 1.558
0.577 -4.764 -0.174
0.584 -2.498 4.059
Li Eu In Be
1 1 1 1
direct
0.750 0.750 0.750
0.500 0.500 0.500
0.000 0.000 0.000
0.250 0.250 0.250
```

Entry 16:
First-principles (PBE) data for a relaxed structure of EuBeIr, as listed in Alexandria via LeMat-Bulk.

Computed properties:
**Energy relative to the elements**: -383 meV/atom
**Fermi-level density of states**: 10.33 states/eV per cell

Geometry as POSCAR:
```
EuBeIr
1.0
-1.595 -1.075 -3.826
3.604 0.179 -1.553
-1.326 -3.379 1.502
Ir Be Eu
1 1 1
direct
0.167 0.000 0.000
0.167 0.667 0.333
0.667 0.333 0.667
```

Entry 17:
First-principles (PBE) data for a relaxed structure of EuBe2Ir, as listed in Alexandria via LeMat-Bulk.

Computed properties:
**Energy relative to the elements**: -373 meV/atom
**Fermi-level density of states**: 10.02 states/eV per cell

Geometry as POSCAR:
```
EuBe2Ir
1.0
-1.051 1.054 -3.642
0.445 -2.525 -2.984
-4.888 -2.297 -1.379
Be Eu Ir
2 1 1
direct
0.312 0.312 0.063
0.688 0.688 0.937
0.500 0.500 0.500
0.000 0.000 0.000
```

Entry 18:
First-principles (PBE) data for a relaxed structure of EuBeN, as listed in Alexandria via LeMat-Bulk.

Computed properties:
**E_form (uncorrected)**: -0.51 eV/atom
**Fermi-level density of states**: 1.96 states/eV per cell

Geometry as POSCAR:
```
EuBeN
1.0
-3.884 2.144 0.181
-1.398 -2.613 0.959
1.192 1.984 2.084
Eu Be N
1 1 1
direct
0.667 0.667 0.333
0.167 0.333 0.667
0.167 0.000 0.000
```

Entry 19:
First-principles (PBE) data for a relaxed structure of Eu2BeN, as listed in Alexandria via LeMat-Bulk.

Computed properties:
**E_form (uncorrected)**: 0.07 eV/atom
**Fermi-level density of states**: 4.02 states/eV per cell

Geometry as POSCAR:
```
Eu2BeN
1.0
3.533 0.000 0.000
1.767 3.060 0.000
1.767 1.020 8.976
Eu Be N
2 1 1
direct
0.885 0.885 0.344
0.115 0.115 0.656
0.000 0.000 0.000
0.500 0.500 0.500
```

Entry 20:
First-principles (PBE) data for a relaxed structure of NdEu2BeO5, as listed in Alexandria via LeMat-Bulk.

Computed properties:
**E_form (uncorrected)**: -3.01 eV/atom
**Fermi-level density of states**: 87.43 states/eV per cell

Geometry as POSCAR:
```
NdEu2BeO5
1.0
-4.016 4.590 -2.437
-0.670 -3.842 -6.133
-7.526 -4.613 3.713
O Eu Be Nd
20 8 4 4
direct
0.190 0.059 0.930
0.310 0.059 0.430
0.479 0.750 0.011
0.137 0.250 0.225
0.810 0.559 0.070
0.021 0.750 0.511
0.190 0.441 0.930
0.810 0.941 0.070
0.334 0.750 0.725
0.166 0.750 0.225
0.863 0.750 0.775
0.979 0.250 0.489
0.310 0.441 0.430
0.637 0.750 0.275
0.363 0.250 0.725
0.690 0.559 0.570
0.521 0.250 0.989
0.834 0.250 0.775
0.690 0.941 0.570
0.666 0.250 0.275
0.922 0.523 0.327
0.922 0.977 0.327
0.578 0.523 0.827
0.078 0.023 0.673
0.422 0.023 0.173
0.422 0.477 0.173
0.078 0.477 0.673
0.578 0.977 0.827
0.307 0.250 0.898
0.193 0.250 0.398
0.693 0.750 0.102
0.807 0.750 0.602
0.403 0.750 0.476
0.097 0.750 0.976
0.903 0.250 0.024
0.597 0.250 0.524
```

Entry 21:
First-principles (PBE) data for a relaxed structure of Eu3Be5O12, as listed in Alexandria via LeMat-Bulk.

Computed properties:
**E_form (uncorrected)**: -2.04 eV/atom
**Fermi-level density of states**: 41.96 states/eV per cell

Geometry as POSCAR:
```
Eu3Be5O12
1.0
10.127 0.000 0.000
-3.376 9.548 0.000
-3.376 -4.774 8.269
Be Eu O
20 12 48
direct
0.875 0.625 0.750
0.750 0.625 0.375
0.500 0.000 0.000
0.000 0.500 0.000
0.875 0.250 0.625
0.375 0.125 0.750
0.625 0.750 0.875
0.000 0.000 0.000
0.500 0.500 0.500
0.125 0.750 0.375
0.125 0.375 0.250
0.375 0.250 0.125
0.500 0.000 0.500
0.500 0.500 0.000
0.250 0.875 0.125
0.250 0.375 0.625
0.750 0.125 0.875
0.000 0.000 0.500
0.000 0.500 0.500
0.625 0.875 0.250
0.250 0.625 0.875
0.625 0.250 0.375
0.375 0.750 0.625
0.750 0.875 0.625
0.875 0.125 0.250
0.750 0.375 0.125
0.875 0.750 0.125
0.625 0.375 0.750
0.125 0.875 0.750
0.375 0.625 0.250
0.125 0.250 0.875
0.250 0.125 0.375
0.916 0.814 0.804
0.186 0.102 0.990
0.398 0.388 0.584
0.112 0.696 0.510
0.416 0.304 0.314
0.490 0.804 0.888
0.510 0.314 0.898
0.898 0.814 0.510
0.186 0.084 0.696
0.814 0.916 0.304
0.584 0.696 0.686
0.686 0.196 0.584
0.102 0.186 0.490
0.314 0.510 0.398
0.314 0.804 0.416
0.084 0.898 0.388
0.102 0.916 0.112
0.602 0.612 0.416
0.898 0.084 0.888
0.696 0.112 0.010
0.196 0.686 0.084
0.490 0.686 0.102
0.888 0.584 0.898
0.814 0.898 0.010
0.304 0.888 0.990
0.416 0.112 0.602
0.584 0.888 0.398
0.010 0.398 0.814
0.304 0.416 0.814
0.196 0.510 0.612
0.990 0.602 0.186
0.010 0.612 0.696
0.888 0.304 0.490
0.612 0.010 0.196
0.084 0.186 0.196
0.696 0.584 0.186
0.916 0.102 0.612
0.804 0.314 0.916
0.388 0.990 0.804
0.398 0.010 0.314
0.510 0.196 0.112
0.990 0.388 0.304
0.686 0.490 0.602
0.388 0.398 0.084
0.804 0.490 0.388
0.602 0.990 0.686
0.112 0.416 0.102
0.612 0.602 0.916
```